The following is a PBE calculation of an optimized crystal structure of LaCu2Sb2, from Alexandria.

abc: 4.694 4.694 6.077
angles: 67.28 67.28 90.00
Fractional coordinates of all 5 atoms:
Sb 0.750 0.250 0.500
Sb 0.250 0.750 0.500
Cu 0.382 0.382 0.236
Cu 0.618 0.618 0.764
La 0.000 0.000 0.000

Values from the calculation:
M_tot	0.00	Bohr magnetons per cell
space-group type	No. 139
uncorrected formation energy	-0.43	eV/atom